(1)
## HfAsI2 (GGA-PBE)

Data for a geometry-optimized HfAsI2 structure.

```
HfAsI2
1.0
0.0000 3.6382 3.6382
3.6382 0.0000 3.6382
3.6382 3.6382 0.0000
Hf As I
1 1 2
Direct
0.0000 0.0000 0.0000
0.5000 0.5000 0.5000
0.2500 0.2500 0.2500
0.7500 0.7500 0.7500
```

## Properties
ΔE to the lowest computed polymorph = 2.126 eV/f.u.
crystal system = cubic

***

(2)
## ZnCd2As (GGA-PBE)

Data for a geometry-optimized ZnCd2As structure.

```
ZnCd2As
1.0
3.2362 -4.1687 0.0000
3.2362 4.1687 0.0000
0.0000 0.0000 3.0325
Zn Cd As
1 2 1
Direct
0.0000 0.0000 0.0000
0.0000 0.5000 0.5000
0.5000 0.0000 0.5000
0.5000 0.5000 0.0000
```

## Properties
ΔE to the lowest computed polymorph = 0.242 eV/f.u.
crystal system = orthorhombic
energy of formation from the pure elements = 0.14 eV per atom

***

(3)
## U3SbN3 (GGA-PBE)

Data for a geometry-optimized U3SbN3 structure.

```
U3SbN3
1.0
3.3177 1.9154 7.3819
-3.3177 1.9154 7.3819
0.0000 -3.8309 7.3819
U Sb N
6 2 6
Direct
0.0558 0.3975 0.7360
0.2640 0.9442 0.6025
0.3975 0.7360 0.0558
0.6025 0.2640 0.9442
0.7360 0.0558 0.3975
0.9442 0.6025 0.2640
0.1665 0.1665 0.1665
0.8335 0.8335 0.8335
0.0433 0.7059 0.3721
0.2941 0.6279 0.9567
0.3721 0.0433 0.7059
0.6279 0.9567 0.2941
0.7059 0.3721 0.0433
0.9567 0.2941 0.6279
```

## Properties
crystal system = trigonal
calculated total energy = -70.4 eV/f.u.

***

(4)
## LiGdAsRh (GGA-PBE)

Data for a geometry-optimized LiGdAsRh structure.

```
LiGdAsRh
1.0
0.0000 3.2397 3.2397
3.2397 0.0000 3.2397
3.2397 3.2397 0.0000
Li Gd As Rh
1 1 1 1
Direct
0.0000 0.0000 0.0000
0.7500 0.7500 0.7500
0.2500 0.2500 0.2500
0.5000 0.5000 0.5000
```

## Properties
crystal system = cubic
energy of formation from the pure elements = -0.77 eV per atom

***

(5)
## Al2CdH (GGA-PBE)

Data for a geometry-optimized Al2CdH structure.

```
Al2CdH
1.0
-2.4432 2.4432 5.8567
2.4432 -2.4432 5.8567
2.4432 2.4432 -5.8567
Al Cd H
4 2 2
Direct
0.3750 0.2040 0.3290
0.7960 0.1250 0.1710
0.8750 0.0460 0.6710
0.9540 0.6250 0.8290
0.2500 0.7500 0.5000
0.5000 0.5000 0.0000
0.0000 0.0000 0.0000
0.7500 0.2500 0.5000
```

## Properties
ΔE to the lowest computed polymorph = 0.000 eV/f.u.
crystal system = tetragonal

***

(6)
## NbTl3Pb2S6 (GGA-PBE)

Data for a geometry-optimized NbTl3Pb2S6 structure.

```
NbTl3Pb2S6
1.0
3.5756 -6.1337 0.0000
3.5756 6.1337 0.0000
-2.3157 0.0000 7.2002
Nb Tl Pb S
1 3 2 6
Direct
0.0000 0.0000 0.0000
0.1685 0.8315 0.5000
0.5000 0.5000 0.5000
0.8315 0.1685 0.5000
0.3332 0.6668 0.0000
0.6668 0.3332 0.0000
0.0664 0.3546 0.1988
0.2184 0.2184 0.7918
0.3546 0.0664 0.1988
0.6454 0.9336 0.8012
0.7816 0.7816 0.2082
0.9336 0.6454 0.8012
```

## Properties
crystal system = monoclinic
calculated total energy = -56.4 eV/f.u.

***

(7)
## FeNiP2Au (GGA-PBE)

Data for a geometry-optimized FeNiP2Au structure.

```
FeNiP2Au
1.0
4.1227 0.0000 0.0000
0.0000 4.1227 0.0000
0.0000 0.0000 5.0215
Fe Ni P Au
1 1 2 1
Direct
0.0000 0.0000 0.0000
0.5000 0.5000 0.5000
0.0000 0.5000 0.0000
0.5000 0.0000 0.0000
0.0000 0.0000 0.5000
```

## Properties
crystal system = tetragonal
energy of formation from the pure elements = 0.62 eV per atom

***

(8)
## RhWN3 (GGA-PBE)

Data for a geometry-optimized RhWN3 structure.

```
RhWN3
1.0
5.9732 0.0000 0.0000
0.1825 6.4664 0.0000
1.1883 1.7897 7.4648
Rh W N
4 4 12
Direct
0.0907 0.2764 0.1871
0.2729 0.6531 0.9839
0.7271 0.3469 0.0161
0.9093 0.7236 0.8129
0.1311 0.1711 0.7299
0.3246 0.4846 0.3802
0.6754 0.5154 0.6198
0.8689 0.8289 0.2701
0.0386 0.3151 0.4437
0.0775 0.2561 0.9372
0.1267 0.7451 0.4163
0.2093 0.8885 0.7810
0.4151 0.3261 0.6083
0.4257 0.4144 0.1562
0.5743 0.5856 0.8438
0.5849 0.6739 0.3917
0.7907 0.1115 0.2190
0.8733 0.2549 0.5837
0.9225 0.7439 0.0628
0.9614 0.6849 0.5563
```

## Properties
crystal system = triclinic
calculated total energy = -44.0 eV/f.u.